[1]
A plane-wave DFT calculation with PBE was carried out for a relaxed structure of BaCoAgSn2.

Summary:
- E_tot (hartree per atom) = -0.1526
- DOS at the Fermi energy (states/eV/cell) = 3.0

Lattice parameters (Å, degrees): 4.9345 4.9345 5.2860 90.00 90.00 90.00
Fractional coordinates of all 5 atoms:
Co 0.0000 0.0000 0.0000
Ba 0.5000 0.5000 0.5000
Ag 0.0000 0.0000 0.5000
Sn 0.0000 0.5000 0.0000
Sn 0.5000 0.0000 0.0000

[2]
A plane-wave DFT calculation with PBE was carried out for a relaxed structure of Ca2PmCd3.

Summary:
- ΔE to the lowest computed polymorph (eV/atom) = 0.0000
- E_tot (hartree per atom) = -0.0838
- DOS at the Fermi energy (states/eV/cell) = 4.1

Lattice parameters (Å, degrees): 5.4136 5.4136 6.6589 90.00 90.00 120.00
Fractional coordinates of all 6 atoms:
Ca 0.6667 0.3333 0.3368
Ca 0.3333 0.6667 0.6632
Pm 0.0000 0.0000 0.0000
Cd 0.0000 0.0000 0.5000
Cd 0.6667 0.3333 0.8387
Cd 0.3333 0.6667 0.1613

What did we get for calculated volume? Answer: 128.7, 169.0 Å³/f.u., in the order shown.
What did we get for ΔE_f? Answer: -0.872, -2.176 eV per formula unit, in the order shown.
What did we get for size of the total moment? Answer: 0.00, 0.00 μB/cell, in the order shown.